First-principles (PBE) data for crystalline DyNi4B at its relaxed geometry, as listed in Alexandria.

Computed properties:
Formation enthalpy at 0 K, meV/atom: -494.7
VASP energy, eV/atom: -6.23

Cell: 4.9753 4.9753 6.9588 Å, 90.00 90.00 120.00°
Closest atoms and distances in Å follow each position.
Sites, in units of the cell vectors:
Dy1 0.0000 0.0000 0.0000  6 B 2.87, 12 Ni 2.88
Dy2 0.0000 0.0000 0.5000  18 Ni 2.87-3.21
Ni1 0.0000 0.5000 0.2074  2 B 2.04
Ni2 0.0000 0.5000 0.7926  2 B 2.04
Ni3 0.3333 0.6667 0.5000  6 Ni 2.49
Ni4 0.5000 0.0000 0.2074  2 B 2.04
Ni5 0.5000 0.0000 0.7926  2 B 2.04
Ni6 0.5000 0.5000 0.2074  2 B 2.04
Ni7 0.5000 0.5000 0.7926  2 B 2.04
Ni8 0.6667 0.3333 0.5000  6 Ni 2.49
B1 0.3333 0.6667 0.0000  6 Ni 2.04
B2 0.6667 0.3333 0.0000  6 Ni 2.04



First-principles (PBE) data for crystalline TmMnAs2 at its relaxed geometry, as listed in Alexandria.

Computed properties:
Formation enthalpy at 0 K, meV/atom: -681.2
VASP energy, eV/atom: -6.42

Cell: 3.9141 3.9141 18.0661 Å, 90.00 90.00 120.00°
Closest atoms and distances in Å follow each position.
Sites, in units of the cell vectors:
Tm1 0.0000 0.0000 0.0000  6 As 2.84
Tm2 0.3333 0.6667 0.6667  6 As 2.84
Tm3 0.6667 0.3333 0.3333  6 As 2.84
Mn1 0.0000 0.0000 0.5000  6 As 2.60
Mn2 0.3333 0.6667 0.1667  6 As 2.60
Mn3 0.6667 0.3333 0.8333  6 As 2.60
As1 0.0000 0.0000 0.2382  3 Mn 2.60, 3 Tm 2.84
As2 0.0000 0.0000 0.7618  3 Mn 2.60, 3 Tm 2.84
As3 0.3333 0.6667 0.4285  3 Mn 2.60, 3 Tm 2.84
As4 0.3333 0.6667 0.9048  3 Mn 2.60, 3 Tm 2.84
As5 0.6667 0.3333 0.0952  3 Mn 2.60, 3 Tm 2.84
As6 0.6667 0.3333 0.5715  3 Mn 2.60, 3 Tm 2.84



First-principles (PBE) data for crystalline In2IrRu at its relaxed geometry, as listed in Alexandria.

Computed properties:
Formation enthalpy at 0 K, meV/atom: 199.2
VASP energy, eV/atom: -5.70

Cell: 3.0676 3.0676 25.8431 Å, 90.00 90.00 120.00°
Closest atoms and distances in Å follow each position.
Sites, in units of the cell vectors:
In1 0.0000 0.0000 0.2495  3 Ru 2.78, 3 Ir 2.80, 6 In 3.07
In2 0.0000 0.0000 0.7505  3 Ru 2.78, 3 Ir 2.80, 6 In 3.07
In3 0.3333 0.6667 0.4172  3 Ru 2.78, 3 Ir 2.80, 6 In 3.07
In4 0.3333 0.6667 0.9161  3 Ru 2.78, 3 Ir 2.80, 6 In 3.07
In5 0.6667 0.3333 0.0839  3 Ru 2.78, 3 Ir 2.80, 6 In 3.07
In6 0.6667 0.3333 0.5828  3 Ru 2.78, 3 Ir 2.80, 6 In 3.07
Ir1 0.0000 0.0000 0.0000  6 In 2.80, 6 Ir 3.07
Ir2 0.3333 0.6667 0.6667  6 In 2.80, 6 Ir 3.07
Ir3 0.6667 0.3333 0.3333  6 In 2.80, 6 Ir 3.07
Ru1 0.0000 0.0000 0.5000  6 In 2.78, 6 Ru 3.07
Ru2 0.3333 0.6667 0.1667  6 In 2.78, 6 Ru 3.07
Ru3 0.6667 0.3333 0.8333  6 In 2.78, 6 Ru 3.07



First-principles (PBE) data for crystalline MoPb2Br at its relaxed geometry, as listed in Alexandria.

Computed properties:
ΔE_f (raw), eV per atom: 0.706
VASP energy, eV/atom: -4.27
Energy relative to the lowest polymorph listed for this composition, meV/atom: 457

Cell: 4.6320 4.6320 9.5219 Å, 90.00 90.00 90.00°
Closest atoms and distances in Å follow each position.
Sites, in units of the cell vectors:
Mo1 0.0000 0.0000 0.0000  4 Br 3.28, 8 Pb 3.32
Mo2 0.5000 0.5000 0.5000  4 Br 3.28, 8 Pb 3.32
Pb1 0.0000 0.5000 0.2500  4 Pb 3.28, 4 Br 3.32, 4 Mo 3.32
Pb2 0.0000 0.5000 0.7500  4 Pb 3.28, 4 Mo 3.32, 4 Br 3.32
Pb3 0.5000 0.0000 0.2500  4 Pb 3.28, 4 Br 3.32, 4 Mo 3.32
Pb4 0.5000 0.0000 0.7500  4 Pb 3.28, 4 Mo 3.32, 4 Br 3.32
Br1 0.0000 0.0000 0.5000  4 Mo 3.28, 8 Pb 3.32
Br2 0.5000 0.5000 0.0000  4 Mo 3.28, 8 Pb 3.32



First-principles (PBE) data for crystalline TbSm10Tm4 at its relaxed geometry, as listed in Alexandria.

Computed properties:
Formation enthalpy at 0 K, meV/atom: 701.4
VASP energy, eV/atom: -3.95

Cell: 9.4632 9.4632 9.4632 Å, 99.56 99.56 131.91°
Closest atoms and distances in Å follow each position.
Sites, in units of the cell vectors:
Tb1 0.0000 0.0000 0.0000  8 Sm 3.36
Sm1 0.0495 0.3505 0.8988  3 Tm 3.34-3.35, 1 Tb 3.36
Sm2 0.1507 0.0495 0.6989  3 Tm 3.34-3.35, 1 Tb 3.36
Sm3 0.2500 0.7500 0.5000  4 Tm 3.35
Sm4 0.3505 0.4518 0.3011  3 Tm 3.34-3.35, 1 Tb 3.36
Sm5 0.4518 0.1507 0.1012  3 Tm 3.34-3.35, 1 Tb 3.36
Sm6 0.5482 0.8493 0.8988  3 Tm 3.34-3.35, 1 Tb 3.36
Sm7 0.6495 0.5482 0.6989  3 Tm 3.34-3.35, 1 Tb 3.36
Sm8 0.7500 0.2500 0.5000  4 Tm 3.35
Sm9 0.8493 0.9505 0.3011  3 Tm 3.34-3.35, 1 Tb 3.36
Sm10 0.9505 0.6495 0.1012  3 Tm 3.34-3.35, 1 Tb 3.36
Tm1 0.2002 0.3999 0.6000  8 Sm 3.34-3.35
Tm2 0.3999 0.7998 0.1997  8 Sm 3.34-3.35
Tm3 0.6001 0.2002 0.8003  8 Sm 3.34-3.35
Tm4 0.7998 0.6001 0.4000  8 Sm 3.34-3.35



First-principles (PBE) data for crystalline TePt2Cl at its relaxed geometry, as listed in Alexandria.

Computed properties:
ΔE_f (raw), eV per atom: 0.381
VASP energy, eV/atom: -3.89
Energy relative to the lowest polymorph listed for this composition, meV/atom: 620

Cell: 2.9595 4.8471 10.6904 Å, 90.00 90.00 90.00°
Closest atoms and distances in Å follow each position.
Sites, in units of the cell vectors:
Te1 0.0000 0.0000 0.0000  4 Cl 2.84, 4 Pt 2.90, 2 Te 2.96
Te2 0.5000 0.5000 0.5000  4 Cl 2.84, 4 Pt 2.90, 2 Te 2.96
Pt1 0.0000 0.5000 0.2671  6 Pt 2.86-2.96, 2 Te 2.90
Pt2 0.0000 0.5000 0.7329  6 Pt 2.86-2.96, 2 Te 2.90
Pt3 0.5000 0.0000 0.2329  6 Pt 2.86-2.96, 2 Te 2.90
Pt4 0.5000 0.0000 0.7671  6 Pt 2.86-2.96, 2 Te 2.90
Cl1 0.0000 0.0000 0.5000  4 Te 2.84, 2 Cl 2.96
Cl2 0.5000 0.5000 0.0000  4 Te 2.84, 2 Cl 2.96